First-principles (meta-GGA SCAN) data for a crystal of SrLa2Al relaxed with PBEsol, as listed in Alexandria.

The structure in POSCAR format:
```
SrLa2Al
1.0
-2.590 -2.334 -3.443
1.427 -4.308 1.847
-3.518 3.293 3.900
Sr La Al
1 2 1
direct
0.500 0.500 0.000
0.750 0.250 0.500
0.000 0.000 0.000
0.250 0.750 0.500
```

=====

First-principles (meta-GGA SCAN) data for a crystal of La2TaAl relaxed with PBEsol, as listed in Alexandria.

The structure in POSCAR format:
```
La2TaAl
1.0
5.896 0.000 0.000
2.948 5.858 0.000
2.948 0.000 5.858
La Al Ta
4 2 2
direct
0.121 0.004 0.504
0.875 0.496 0.004
0.629 0.996 0.496
0.375 0.504 0.996
0.250 0.500 0.500
0.500 0.000 0.000
0.750 0.500 0.500
0.000 0.000 0.000
```

=====

First-principles (meta-GGA SCAN) data for a crystal of La2TaAl relaxed with PBEsol, as listed in Alexandria.

The structure in POSCAR format:
```
La2TaAl
1.0
3.723 0.000 0.000
0.000 3.723 0.000
0.000 0.000 7.291
Al La Ta
1 2 1
direct
0.500 0.500 0.500
0.000 0.000 0.247
0.000 0.000 0.753
0.500 0.500 0.000
```

=====

First-principles (meta-GGA SCAN) data for a crystal of LaTaAl2 relaxed with PBEsol, as listed in Alexandria.

The structure in POSCAR format:
```
LaTaAl2
1.0
-0.055 -2.537 -1.645
0.694 -2.649 1.283
-9.569 -3.107 2.330
La Al Ta
1 2 1
direct
0.500 0.500 0.500
0.260 0.260 0.219
0.740 0.740 0.781
0.000 0.000 0.000
```

Results
Energy relative to the lowest polymorph listed for this composition (meV/atom): 215

=====

First-principles (meta-GGA SCAN) data for a crystal of LaTaAl2 relaxed with PBEsol, as listed in Alexandria.

The structure in POSCAR format:
```
LaTaAl2
1.0
-2.950 -0.432 0.090
0.171 -1.676 -2.462
1.215 -7.249 5.018
Al Ta La
2 1 1
direct
0.000 0.000 0.716
0.000 0.000 0.284
0.500 0.500 0.500
0.500 0.500 0.000
```

Results
Energy relative to the lowest polymorph listed for this composition (meV/atom): 0

=====

First-principles (meta-GGA SCAN) data for a crystal of LaTaAl2 relaxed with PBEsol, as listed in Alexandria.

The structure in POSCAR format:
```
LaTaAl2
1.0
-0.849 2.937 -0.310
-3.070 -0.440 4.227
4.779 1.540 1.508
Al Ta La
2 1 1
direct
0.000 0.500 0.000
0.000 0.000 0.500
0.500 0.500 0.500
0.500 0.000 0.000
```

Results
Energy relative to the lowest polymorph listed for this composition (meV/atom): 271

=====

First-principles (meta-GGA SCAN) data for a crystal of LaTaAl2 relaxed with PBEsol, as listed in Alexandria.

The structure in POSCAR format:
```
LaTaAl2
1.0
3.001 0.000 0.000
1.501 2.599 0.000
1.501 0.866 10.318
Al Ta La
2 1 1
direct
0.740 0.740 0.780
0.000 0.000 0.000
0.262 0.262 0.216
0.499 0.499 0.504
```

Results
Energy relative to the lowest polymorph listed for this composition (meV/atom): 392

=====

First-principles (meta-GGA SCAN) data for a crystal of LaTaAl2 relaxed with PBEsol, as listed in Alexandria.

The structure in POSCAR format:
```
LaTaAl2
1.0
4.408 0.000 0.000
0.000 4.408 0.000
-2.204 -2.204 4.112
Al Ta La
2 1 1
direct
0.750 0.250 0.500
0.250 0.750 0.500
0.000 0.000 0.000
0.500 0.500 0.000
```

Results
Energy relative to the lowest polymorph listed for this composition (meV/atom): 213

=====

First-principles (meta-GGA SCAN) data for a crystal of LaTaAl2 relaxed with PBEsol, as listed in Alexandria.

The structure in POSCAR format:
```
LaTaAl2
1.0
-1.033 -3.287 -2.615
2.470 -2.683 2.396
-3.443 -0.921 2.518
Ta Al La
1 2 1
direct
0.500 0.000 0.000
0.000 0.000 0.500
0.000 0.500 0.000
0.500 0.500 0.500
```

Results
Energy relative to the lowest polymorph listed for this composition (meV/atom): 369

=====

First-principles (meta-GGA SCAN) data for a crystal of La2TaAl relaxed with PBEsol, as listed in Alexandria.

The structure in POSCAR format:
```
La2TaAl
1.0
3.159 0.000 0.000
0.000 5.706 -0.052
0.000 -1.917 5.375
La Al Ta
2 1 1
direct
0.000 0.000 0.500
0.000 0.500 0.000
0.500 0.500 0.500
0.500 0.000 0.000
```

=====

First-principles (meta-GGA SCAN) data for a crystal of La2AlTc relaxed with PBEsol, as listed in Alexandria.

The structure in POSCAR format:
```
La2AlTc
1.0
4.943 0.000 0.000
2.472 4.281 0.000
2.472 1.427 4.036
Al La Tc
1 2 1
direct
0.500 0.500 0.500
0.750 0.750 0.750
0.000 0.000 0.000
0.250 0.250 0.250
```

=====

First-principles (meta-GGA SCAN) data for a crystal of La2AlTc relaxed with PBEsol, as listed in Alexandria.

The structure in POSCAR format:
```
La2AlTc
1.0
-1.102 -0.549 3.229
1.582 -2.340 1.991
5.768 5.377 4.732
La Al Tc
2 1 1
direct
0.766 0.766 0.702
0.992 0.992 0.025
0.233 0.233 0.301
0.509 0.509 0.473
```

=====

First-principles (meta-GGA SCAN) data for a crystal of La2AlTc relaxed with PBEsol, as listed in Alexandria.

The structure in POSCAR format:
```
La2AlTc
1.0
3.779 0.000 0.000
0.000 4.997 0.107
0.000 -0.104 4.997
Al Tc La
1 1 2
direct
0.500 0.500 0.500
0.500 0.000 0.000
0.000 0.000 0.500
0.000 0.500 0.000
```

=====

First-principles (meta-GGA SCAN) data for a crystal of LaAl4Tc relaxed with PBEsol, as listed in Alexandria.

The structure in POSCAR format:
```
LaAl4Tc
1.0
-1.653 -3.207 -3.929
2.057 -4.897 -0.489
-2.989 -4.273 1.125
Al Tc La
4 1 1
direct
0.374 0.877 0.374
0.374 0.374 0.877
0.877 0.374 0.374
0.374 0.374 0.374
0.000 0.000 0.000
0.750 0.750 0.750
```

=====

First-principles (meta-GGA SCAN) data for a crystal of LaAl2Tc relaxed with PBEsol, as listed in Alexandria.

The structure in POSCAR format:
```
LaAl2Tc
1.0
4.746 0.000 0.000
2.373 4.111 0.000
2.373 1.370 3.875
Al Tc La
2 1 1
direct
0.750 0.750 0.750
0.250 0.250 0.250
0.500 0.500 0.500
0.000 0.000 0.000
```

Results
Energy relative to the lowest polymorph listed for this composition (meV/atom): 0

=====

We obtain total DFT energy (no corrections) values of -116.3; -316.3; -159.4; -125.0; -125.9; -124.8; -124.3; -125.0; -124.4; -159.5; -128.8; -128.4; -128.8; -109.4; -93.7 eV for the cell shown for the records listed above, in that order.
We obtain calculated formation energy values of -0.0044; 0.6006; 0.2922; 0.0487; -0.1662; 0.1052; 0.2253; 0.0468; 0.2031; 0.2543; 0.0582; 0.1546; 0.0575; -0.0349; 0.0009 eV/atom for the records listed above, in that order.
We obtain M_tot values of 0.001; 0.344; 2.739; 0.000; 0.000; 0.000; 0.000; 0.000; 0.000; 0.000; 0.872; 0.000; 0.000; 0.001; 0.956 μB per formula unit for the records listed above, in that order.